# PBE-GGA YGa2OsO8, relaxed
data_YGa2OsO8
_cell_length_a 7.045
_cell_length_b 6.385
_cell_length_c 6.610
_cell_angle_alpha 90.00
_cell_angle_beta 96.33
_cell_angle_gamma 90.00
_symmetry_space_group_name_H-M 'C 1 2/m 1'
_symmetry_Int_Tables_number 12
_symmetry_space_group_name_Hall '-C 2y'
loop_
_atom_site_label
_atom_site_fract_x
_atom_site_fract_y
_atom_site_fract_z
Y1 0.000 0.000 0.000
Ga1 0.036 0.500 0.219
Os1 0.000 0.000 0.500
O1 0.004 0.207 0.285
O2 0.181 0.500 0.992
O3 0.238 0.500 0.462
# electronic total energy = -7.02 eV per atom
# theoretical density = 6.1 g/cm³
# formation energy (no corrections) = -20.87 eV per formula unit